# PdN2O2 (GGA-PBE, relaxed)
# Excess energy over the best structure of this formula in the dataset   0 meV per atom
data_PdN2O2
_chemical_formula_sum 'Pd1 N2 O2'
_cell_length_a 3.141
_cell_length_b 3.141
_cell_length_c 9.321
_cell_angle_alpha 100.03
_cell_angle_beta 100.03
_cell_angle_gamma 60.00
_space_group_name_H-M_alt 'P 1'
_space_group_IT_number 1
_space_group_name_Hall 'P 1'
loop_
_atom_site_label
_atom_site_fract_x
_atom_site_fract_y
_atom_site_fract_z
Pd1 0.000 0.000 0.000
N1 0.479 0.479 0.439
N2 0.521 0.521 0.561
O1 0.297 0.297 0.895
O2 0.703 0.703 0.105